[1]
SmY6Er after structural relaxation, computed with PBE-GGA.

Results
Crystal system = monoclinic
M_tot = 0.00 μB/f.u.
Space-group type = C2/m, No. 12
Energy above the most stable polymorph in this dataset = 0.0 meV/atom

Cell and atoms, written as POSCAR:
```
SmY6Er
1.0
3.2955 -5.9487 0.0000
3.2955 5.9487 0.0000
-0.0321 0.0000 6.6557
Sm Y Er
1 6 1
direct
0.0000 0.0000 0.0000
0.0519 0.5815 0.7488
0.4185 0.9481 0.2512
0.4906 0.4906 0.7485
0.5094 0.5094 0.2515
0.5815 0.0519 0.7488
0.9481 0.4185 0.2512
0.0000 0.0000 0.5000
```


[2]
SmY7Er4 after structural relaxation, computed with PBE-GGA.

Results
Crystal system = triclinic
M_tot = 0.00 μB/f.u.
Space-group type = P-1, No. 2
Energy above the most stable polymorph in this dataset = 0.0 meV/atom

Cell and atoms, written as POSCAR:
```
SmY7Er4
1.0
6.4998 0.0000 0.0000
0.9247 6.7422 0.0000
2.1167 0.2943 8.8078
Sm Y Er
1 7 4
direct
0.0000 0.0000 0.0000
0.0000 0.5000 0.0000
0.1912 0.1063 0.3871
0.3167 0.6950 0.6393
0.4845 0.2513 0.0495
0.5155 0.7487 0.9505
0.6833 0.3050 0.3607
0.8088 0.8937 0.6129
0.1610 0.6148 0.3112
0.3586 0.1903 0.7140
0.6414 0.8097 0.2860
0.8390 0.3852 0.6888
```


[3]
SmYEr14 after structural relaxation, computed with PBE-GGA.

Results
Crystal system = orthorhombic
M_tot = 0.00 μB/f.u.
Space-group type = Amm2, No. 38
Final energy = -4.630 eV per atom

Cell and atoms, written as POSCAR:
```
SmYEr14
1.0
11.0311 0.0000 0.0000
0.0000 4.0538 5.5590
0.0000 -4.0538 5.5590
Sm Y Er
1 1 14
direct
0.0000 0.0000 0.0000
0.0000 0.5523 0.5523
0.0000 0.0703 0.4793
0.0000 0.4793 0.0703
0.2334 0.7605 0.7605
0.2527 0.2726 0.6908
0.2527 0.6908 0.2726
0.2692 0.2042 0.2042
0.5000 0.4125 0.4125
0.5000 0.4874 0.8962
0.5000 0.8962 0.4874
0.5000 0.9647 0.9647
0.7308 0.2042 0.2042
0.7473 0.2726 0.6908
0.7473 0.6908 0.2726
0.7666 0.7605 0.7605
```


[4]
Sm5YEr5 after structural relaxation, computed with PBE-GGA.

Results
Crystal system = hexagonal
M_tot = 0.00 μB/f.u.
Space-group type = P-6m2, No. 187
Final energy = -4.507 eV per atom

Cell and atoms, written as POSCAR:
```
Sm5YEr5
1.0
6.0679 0.0000 0.0000
-3.0340 5.2550 0.0000
0.0000 0.0000 11.7130
Sm Y Er
5 1 5
direct
0.0000 0.0000 0.0000
0.3333 0.6667 0.3164
0.3333 0.6667 0.6836
0.6667 0.3333 0.1540
0.6667 0.3333 0.8460
0.3333 0.6667 0.0000
0.0000 0.0000 0.2659
0.0000 0.0000 0.7341
0.3337 0.1668 0.5000
0.8332 0.1668 0.5000
0.8332 0.6663 0.5000
```


[5]
Sm7Y2Er2 after structural relaxation, computed with PBE-GGA.

Results
Crystal system = monoclinic
M_tot = 0.00 μB/f.u.
Space-group type = C2/m, No. 12
Energy above the most stable polymorph in this dataset = 0.0 meV/atom

Cell and atoms, written as POSCAR:
```
Sm7Y2Er2
1.0
4.2448 -5.5121 0.0000
4.2448 5.5121 0.0000
-2.0490 0.0000 7.8934
Sm Y Er
7 2 2
direct
0.0000 0.0000 0.0000
0.0961 0.5156 0.8316
0.4210 0.4210 0.1836
0.4844 0.9039 0.1684
0.5156 0.0961 0.8316
0.5790 0.5790 0.8164
0.9039 0.4844 0.1684
0.1980 0.1980 0.4825
0.8020 0.8020 0.5175
0.2836 0.7164 0.5000
0.7164 0.2836 0.5000
```


[6]
Sm3Y2Er6 after structural relaxation, computed with PBE-GGA.

Results
Crystal system = tetragonal
M_tot = 0.00 μB/f.u.
Space-group type = I4/mmm, No. 139
Energy above the most stable polymorph in this dataset = 261.1 meV/atom

Cell and atoms, written as POSCAR:
```
Sm3Y2Er6
1.0
-2.3600 2.3600 16.6516
2.3600 -2.3600 16.6516
2.3600 2.3600 -16.6516
Sm Y Er
3 2 6
direct
0.0000 0.0000 0.0000
0.2025 0.2025 0.0000
0.7975 0.7975 0.0000
0.4535 0.4535 0.0000
0.5465 0.5465 0.0000
0.1220 0.6220 0.5000
0.3054 0.3054 0.0000
0.3780 0.8780 0.5000
0.6220 0.1220 0.5000
0.6946 0.6946 0.0000
0.8780 0.3780 0.5000
```


[7]
SmY4Er8 after structural relaxation, computed with PBE-GGA.

Results
Crystal system = trigonal
M_tot = 0.00 μB/f.u.
Space-group type = R-3m, No. 166
Final energy = -4.951 eV per atom

Cell and atoms, written as POSCAR:
```
SmY4Er8
1.0
3.6464 2.1052 8.9292
-3.6464 2.1052 8.9292
0.0000 -4.2105 8.9292
Sm Y Er
1 4 8
direct
0.0000 0.0000 0.0000
0.0000 0.0000 0.5000
0.0000 0.5000 0.0000
0.5000 0.0000 0.0000
0.5000 0.5000 0.5000
0.2501 0.2501 0.6912
0.2501 0.6912 0.2501
0.2818 0.2818 0.2818
0.3088 0.7499 0.7499
0.6912 0.2501 0.2501
0.7182 0.7182 0.7182
0.7499 0.3088 0.7499
0.7499 0.7499 0.3088
```


[8]
SmY8Er6 after structural relaxation, computed with PBE-GGA.

Results
Crystal system = trigonal
M_tot = 0.00 μB/f.u.
Space-group type = R-3, No. 148
Energy above the most stable polymorph in this dataset = 0.0 meV/atom

Cell and atoms, written as POSCAR:
```
SmY8Er6
1.0
4.5087 2.6031 6.8701
-4.5087 2.6031 6.8701
0.0000 -5.2061 6.8701
Sm Y Er
1 8 6
direct
0.0000 0.0000 0.0000
0.1101 0.7199 0.7452
0.2548 0.8899 0.2801
0.2801 0.2548 0.8899
0.4232 0.4232 0.4232
0.5768 0.5768 0.5768
0.7199 0.7452 0.1101
0.7452 0.1101 0.7199
0.8899 0.2801 0.2548
0.1095 0.5393 0.2307
0.2307 0.1095 0.5393
0.4607 0.7693 0.8905
0.5393 0.2307 0.1095
0.7693 0.8905 0.4607
0.8905 0.4607 0.7693
```